(1)
VASP calculation (PBE-GGA) on a relaxed structure of Mg4Pa3.

a b c (Å): 8.6486 8.6486 5.2973
angles (deg): 90.00 90.00 120.00
Space group P6_3/m (No. 176)
One atom of each set of equivalent atoms:
Mg (0.0976, 0.4906, 0.2500) [6 per cell]
Mg (0.3333, 0.6667, 0.7500) [2 per cell]
Pa (0.0500, 0.2194, 0.7500) [6 per cell]

Calculated values
polymorph energy (0 for the lowest one)	0	meV per atom

---

(2)
VASP calculation (PBE-GGA) on a relaxed structure of AlCuOsPd.

a b c (Å): 6.0992 6.0992 6.0992
angles (deg): 90.00 90.00 90.00
Space group F-43m (No. 216)
One atom of each set of equivalent atoms:
Al (0.0000, 0.0000, 0.0000) [4 per cell]
Cu (0.2500, 0.2500, 0.2500) [4 per cell]
Os (0.2500, 0.2500, 0.7500) [4 per cell]
Pd (0.0000, 0.0000, 0.5000) [4 per cell]

Calculated values
polymorph energy (0 for the lowest one)	0	meV per atom

---

(3)
VASP calculation (PBE-GGA) on a relaxed structure of NdHoZn2Pb2.

a b c (Å): 4.6444 4.6444 16.0774
angles (deg): 90.00 90.00 120.00
Space group P6_3/mmc (No. 194)
One atom of each set of equivalent atoms:
Nd (0.0000, 0.0000, 0.2500) [2 per cell]
Ho (0.0000, 0.0000, 0.0000) [2 per cell]
Zn (0.3333, 0.6667, 0.1607) [4 per cell]
Pb (0.3333, 0.6667, 0.6069) [4 per cell]

Calculated values
polymorph energy (0 for the lowest one)	16	meV per atom

---

(4)
VASP calculation (PBE-GGA) on a relaxed structure of NaErTl2I6.

a b c (Å): 12.0965 12.0965 12.0965
angles (deg): 90.00 90.00 90.00
Space group Fm-3m (No. 225)
One atom of each set of equivalent atoms:
Na (0.0000, 0.0000, 0.0000) [4 per cell]
Er (0.0000, 0.0000, 0.5000) [4 per cell]
Tl (0.2500, 0.2500, 0.2500) [8 per cell]
I (0.0000, 0.0000, 0.2536) [24 per cell]

Calculated values
E	-2.973	eV per atom